# PBE YGePb2Se5, optimized geometry
# DFT total energy, eV per atom: -4.794
# Spin magnetization, μB/cell: 0.000
data_YGePb2Se5
_chemical_formula_sum 'Y4 Ge4 Pb8 Se20'
_cell_length_a 4.3440
_cell_length_b 18.3767
_cell_length_c 12.8411
_cell_angle_alpha 90.00
_cell_angle_beta 90.00
_cell_angle_gamma 90.00
_space_group_name_H-M_alt 'C m c 21'
_space_group_IT_number 36
loop_
_space_group_symop_operation_xyz
'x,y,z'
'-x,-y,z+1/2'
'-x,y,z'
'x,-y,z+1/2'
'x+1/2,y+1/2,z'
'-x+1/2,-y+1/2,z+1/2'
'-x+1/2,y+1/2,z'
'x+1/2,-y+1/2,z+1/2'
loop_
_atom_site_label
_atom_site_type_symbol
_atom_site_fract_x
_atom_site_fract_y
_atom_site_fract_z
_atom_site_occupancy
Y1 Y 0.0000 0.1997 0.0000 1
Ge1 Ge 0.0000 0.4467 0.4079 1
Pb1 Pb 0.0000 0.1148 0.3031 1
Pb2 Pb 0.0000 0.1382 0.6468 1
Se1 Se 0.0000 0.0384 0.0006 1
Se2 Se 0.0000 0.2983 0.6488 1
Se3 Se 0.0000 0.3172 0.3467 1
Se4 Se 0.0000 0.3526 0.9884 1
Se5 Se 0.0000 0.4898 0.7419 1